VASP calculation (GGA-PBE) on LiLaZr2 after structural relaxation.

Geometry as POSCAR:
```
LiLaZr2
1.0
-7.318 -8.138 2.278
-5.759 -9.578 -0.238
-4.539 -9.822 2.810
Zr La Li
2 1 1
Cartesian
-4.520 -7.066 1.244
-17.576 -27.476 4.839
-8.846 -13.829 2.436
-13.097 -20.475 3.606
```

Results
The formation energy is 0.185 eV/atom. The space-group type is R3m, No. 160. For the total energy, the calculation gives -23.2 eV/cell.